Record 1
PuTlInCu | Alexandria via LeMat-Bulk | GGA-PBE | relaxed; energy of formation = 66 meV per atom; density = 11.264 g/cm3; raw total energy = -5.817 eV/atom; DOS at the Fermi energy = 12.08 states/eV/f.u.
1.0
0.000 3.588 3.588
3.588 0.000 3.588
3.588 3.588 0.000
Pu Tl In Cu
1 1 1 1
Cartesian
0.000 0.000 0.000 Pu
5.382 5.382 5.382 Tl
3.588 3.588 3.588 In
1.794 1.794 1.794 Cu

=====

Record 2
FeRhS | Alexandria via LeMat-Bulk | GGA-PBE | relaxed; density = 7.775 g/cm3; uncorrected formation energy = -133 meV per atom; raw total energy = -6.780 eV/atom; DOS at the Fermi energy = 2.83 states/eV/f.u.; relative energy among the computed polymorphs = 20 kJ/mol of formula units
1.0
4.204 0.000 0.000
0.000 3.540 0.000
-0.451 0.000 5.477
Fe Rh S
2 2 2
Cartesian
0.000 0.000 0.000 Fe
0.999 1.770 3.523 Fe
2.050 1.770 0.710 Rh
3.154 0.000 2.764 Rh
-0.021 1.770 1.643 S
1.684 0.000 4.531 S

=====

Record 3
Li3TaSi | Alexandria via LeMat-Bulk | GGA-PBE | relaxed; density = 3.194 g/cm3; uncorrected formation energy = 1650 meV per atom; raw total energy = -2.953 eV/atom; DOS at the Fermi energy = 3.78 states/eV/f.u.; relative energy among the computed polymorphs = 346 kJ/mol of formula units
1.0
4.925 0.000 0.000
0.000 4.925 0.000
0.000 0.000 4.925
Li Ta Si
3 1 1
Cartesian
0.000 0.000 2.463 Li
0.000 2.463 0.000 Li
2.463 0.000 0.000 Li
0.000 0.000 0.000 Ta
2.463 2.463 2.463 Si

=====

Record 4
PaSnRh2 | Alexandria via LeMat-Bulk | GGA-PBE | relaxed; energy of formation = -572 meV per atom; density = 12.101 g/cm3; raw total energy = -7.622 eV/atom; DOS at the Fermi energy = 3.93 states/eV/f.u.
1.0
4.759 0.000 0.000
0.000 4.759 0.000
0.000 0.000 3.366
Pa Sn Rh
1 1 2
Cartesian
0.000 0.000 0.000 Pa
2.379 2.379 0.000 Sn
0.000 2.379 1.683 Rh
2.379 0.000 1.683 Rh

=====

Record 5
Tb5Pm4Dy3 | Alexandria via LeMat-Bulk | GGA-PBE | relaxed; energy of formation = 225 meV per atom; density = 7.707 g/cm3; raw total energy = -4.438 eV/atom; DOS at the Fermi energy = 19.85 states/eV/f.u.
1.0
8.074 -2.967 0.000
8.074 2.967 0.000
-4.169 0.000 8.376
Tb Pm Dy
5 4 3
Cartesian
0.000 0.000 0.000 Tb
2.738 0.000 5.135 Tb
5.657 0.000 2.505 Tb
6.322 0.000 5.871 Tb
9.241 0.000 3.240 Tb
-0.511 0.000 3.715 Pm
-0.197 0.000 7.373 Pm
12.176 0.000 1.002 Pm
12.490 0.000 4.661 Pm
2.422 0.000 1.946 Dy
8.074 0.000 0.000 Dy
9.557 0.000 6.430 Dy

=====

Record 6
Ho4SO5 | Alexandria via LeMat-Bulk | GGA-PBE | relaxed; density = 7.401 g/cm3; uncorrected formation energy = -3118 meV per atom; raw total energy = -7.841 eV/atom; DOS at the Fermi energy = 0.00 states/eV/f.u.
1.0
7.091 0.000 0.000
0.000 8.801 0.000
0.000 0.000 5.549
Ho S O
8 2 10
Cartesian
0.059 2.200 0.088 Ho
1.773 0.205 2.932 Ho
1.773 4.195 2.932 Ho
3.486 2.200 0.088 Ho
3.605 6.601 5.461 Ho
5.318 4.606 2.617 Ho
5.318 8.596 2.617 Ho
7.031 6.601 5.461 Ho
1.773 6.601 1.710 S
5.318 2.200 3.840 S
0.035 0.609 1.484 O
0.035 3.792 1.484 O
1.773 2.200 4.262 O
3.511 0.609 1.484 O
3.511 3.792 1.484 O
3.580 5.009 4.065 O
3.580 8.193 4.065 O
5.318 6.601 1.287 O
7.056 5.009 4.065 O
7.056 8.193 4.065 O

=====

Record 7
Ca3Ga2Pt | Alexandria via LeMat-Bulk | GGA-PBE | relaxed; energy of formation = -639 meV per atom; density = 4.792 g/cm3; raw total energy = -3.656 eV/atom; DOS at the Fermi energy = 3.90 states/eV/f.u.
1.0
12.061 0.000 0.000
0.000 4.393 0.000
0.000 0.000 11.895
Ca Ga Pt
12 8 4
Cartesian
0.670 1.098 1.406 Ca
1.378 3.295 6.592 Ca
2.592 1.098 9.513 Ca
3.438 3.295 3.566 Ca
4.653 1.098 0.645 Ca
5.360 3.295 7.353 Ca
6.701 1.098 4.541 Ca
7.408 3.295 11.250 Ca
8.623 1.098 8.329 Ca
9.469 3.295 2.382 Ca
10.683 1.098 5.302 Ca
11.390 3.295 10.489 Ca
0.334 3.295 3.612 Ga
2.461 3.295 11.846 Ga
3.570 1.098 5.899 Ga
5.696 1.098 9.560 Ga
6.365 3.295 2.335 Ga
8.491 3.295 5.996 Ga
9.600 1.098 0.048 Ga
11.727 1.098 8.283 Ga
1.462 1.098 4.361 Pt
4.569 3.295 10.308 Pt
7.492 1.098 1.586 Pt
10.599 3.295 7.534 Pt

=====

Record 8
YOsPt4 | Alexandria via LeMat-Bulk | GGA-PBE | relaxed; energy of formation = -192 meV per atom; density = 16.655 g/cm3; raw total energy = -7.168 eV/atom; DOS at the Fermi energy = 6.51 states/eV/f.u.
1.0
0.000 3.752 3.752
3.752 0.000 3.752
3.752 3.752 0.000
Y Os Pt
1 1 4
Cartesian
0.000 0.000 0.000 Y
5.628 5.628 5.628 Os
2.820 2.820 2.820 Pt
4.684 4.684 2.820 Pt
4.684 2.820 4.684 Pt
2.820 4.684 4.684 Pt

=====

Record 9
DyMgZnCd | Alexandria via LeMat-Bulk | GGA-PBE | relaxed; energy of formation = -299 meV per atom; density = 6.979 g/cm3; raw total energy = -2.396 eV/atom; DOS at the Fermi energy = 1.99 states/eV/f.u.
1.0
0.000 3.514 3.514
3.514 0.000 3.514
3.514 3.514 0.000
Dy Mg Zn Cd
1 1 1 1
Cartesian
0.000 0.000 0.000 Dy
3.514 3.514 3.514 Mg
5.271 5.271 5.271 Zn
1.757 1.757 1.757 Cd

=====

Record 10
LaMgSc2Hg | Alexandria via LeMat-Bulk | GGA-PBE | relaxed; energy of formation = 404 meV per atom; density = 5.240 g/cm3; raw total energy = -3.494 eV/atom; DOS at the Fermi energy = 8.14 states/eV/f.u.
1.0
5.334 0.000 0.000
0.000 5.334 0.000
0.000 0.000 5.054
La Mg Sc Hg
1 1 2 1
Cartesian
0.000 0.000 0.000 La
2.667 2.667 2.527 Mg
0.000 2.667 2.527 Sc
2.667 0.000 2.527 Sc
2.667 2.667 0.000 Hg

=====

Record 11
Th3Hg2Au6 | Alexandria via LeMat-Bulk | GGA-PBE | relaxed; energy of formation = -344 meV per atom; density = 14.264 g/cm3; raw total energy = -4.210 eV/atom; DOS at the Fermi energy = 8.87 states/eV/f.u.
1.0
-2.186 2.186 13.878
2.186 -2.186 13.878
2.186 2.186 -13.878
Th Hg Au
3 2 6
Cartesian
0.000 0.000 0.000 Th
0.000 0.000 5.523 Th
0.000 0.000 22.233 Th
0.000 0.000 12.458 Hg
0.000 0.000 15.298 Hg
2.186 0.000 3.248 Au
0.000 0.000 8.590 Au
2.186 0.000 10.630 Au
0.000 2.186 3.248 Au
0.000 0.000 19.165 Au
0.000 2.186 10.630 Au

=====

Record 12
CsHfB2Au | Alexandria via LeMat-Bulk | GGA-PBE | relaxed; energy of formation = 1613 meV per atom; density = 8.495 g/cm3; raw total energy = -3.875 eV/atom; DOS at the Fermi energy = 4.55 states/eV/f.u.
1.0
4.325 0.000 0.000
0.000 4.325 0.000
0.000 0.000 5.537
Cs Hf B Au
1 1 2 1
Cartesian
0.000 0.000 0.000 Cs
2.163 2.163 0.000 Hf
0.000 2.163 2.769 B
2.163 0.000 2.769 B
2.163 2.163 2.769 Au

=====

Record 13
KCrMo2 | Alexandria via LeMat-Bulk | GGA-PBE | relaxed; energy of formation = 1839 meV per atom; density = 4.524 g/cm3; raw total energy = -6.257 eV/atom; DOS at the Fermi energy = 6.52 states/eV/f.u.; relative energy among the computed polymorphs = 398 kJ/mol of formula units
1.0
-2.557 2.557 7.942
2.557 -2.557 7.942
2.557 2.557 -7.942
K Cr Mo
2 2 4
Cartesian
2.557 1.279 1.986 K
0.000 1.279 5.957 K
2.557 -1.279 5.957 Cr
0.000 3.836 1.986 Cr
0.000 0.000 0.000 Mo
1.279 1.279 -3.971 Mo
1.279 -1.279 3.971 Mo
0.000 2.557 0.000 Mo

=====

Record 14
Th3Ni2Rh5 | Alexandria via LeMat-Bulk | GGA-PBE | relaxed; energy of formation = -726 meV per atom; density = 12.107 g/cm3; raw total energy = -7.784 eV/atom; DOS at the Fermi energy = 6.74 states/eV/f.u.
1.0
9.614 0.000 0.000
0.000 9.614 0.000
0.000 0.000 3.941
Th Ni Rh
6 4 10
Cartesian
0.000 0.000 0.000 Th
1.559 3.248 0.000 Th
3.248 8.055 0.000 Th
4.807 4.807 0.000 Th
6.366 1.559 0.000 Th
8.055 6.366 0.000 Th
1.243 6.051 0.000 Ni
3.564 1.243 0.000 Ni
6.051 8.371 0.000 Ni
8.371 3.564 0.000 Ni
0.000 4.807 1.971 Rh
0.739 7.594 1.971 Rh
2.020 0.739 1.971 Rh
2.787 5.546 1.971 Rh
4.068 2.787 1.971 Rh
4.807 0.000 1.971 Rh
5.546 6.827 1.971 Rh
6.827 4.068 1.971 Rh
7.594 8.875 1.971 Rh
8.875 2.020 1.971 Rh

=====

Record 15
CaLa12Y5 | Alexandria via LeMat-Bulk | GGA-PBE | relaxed; energy of formation = 99 meV per atom; density = 5.465 g/cm3; raw total energy = -5.093 eV/atom; DOS at the Fermi energy = 37.49 states/eV/f.u.
1.0
5.888 -9.140 0.000
5.888 9.140 0.000
0.000 0.000 6.074
Ca La Y
1 12 5
Cartesian
0.000 0.000 0.000 Ca
3.996 6.076 0.000 La
1.946 0.000 3.037 La
4.023 3.060 3.037 La
7.780 6.076 0.000 La
4.134 0.000 0.000 La
7.753 3.060 3.037 La
4.023 -3.060 3.037 La
7.643 0.000 0.000 La
3.996 -6.076 0.000 La
7.753 -3.060 3.037 La
9.830 0.000 3.037 La
7.780 -6.076 0.000 La
5.888 6.091 3.037 Y
5.888 3.062 0.000 Y
5.888 0.000 3.037 Y
5.888 -3.062 0.000 Y
5.888 -6.091 3.037 Y

=====

Record 16
FeSb4Pt2 | Alexandria via LeMat-Bulk | GGA-PBE | relaxed; density = 9.449 g/cm3; uncorrected formation energy = 197 meV per atom; raw total energy = -5.093 eV/atom; DOS at the Fermi energy = 5.18 states/eV/f.u.
1.0
-2.533 2.533 6.388
2.533 -2.533 6.388
2.533 2.533 -6.388
Fe Sb Pt
1 4 2
Cartesian
0.000 0.000 0.000 Fe
2.533 0.000 0.000 Sb
0.000 0.000 2.503 Sb
0.000 2.533 0.000 Sb
0.000 0.000 10.273 Sb
0.000 0.000 5.030 Pt
0.000 0.000 7.746 Pt

=====

Record 17
Ga2PbBr6 | Alexandria via LeMat-Bulk | GGA-PBE | relaxed; density = 3.655 g/cm3; uncorrected formation energy = -701 meV per atom; raw total energy = -2.901 eV/atom; DOS at the Fermi energy = 2.51 states/eV/f.u.; relative energy among the computed polymorphs = 64 kJ/mol of formula units
1.0
6.958 -6.608 0.000
6.958 6.608 0.000
-3.590 0.000 8.162
Ga Pb Br
4 2 12
Cartesian
1.734 1.148 2.012 Ga
-0.061 -1.148 6.093 Ga
10.387 1.148 2.069 Ga
8.592 -1.148 6.150 Ga
4.266 1.133 6.121 Pb
6.061 -1.133 2.040 Pb
1.995 2.948 6.454 Br
0.365 0.004 3.838 Br
-1.430 -0.004 7.919 Br
4.117 1.307 3.008 Br
6.536 2.948 5.789 Br
2.322 -1.307 7.088 Br
8.005 1.307 1.073 Br
3.790 -2.948 2.373 Br
6.210 -1.307 5.154 Br
11.757 0.004 0.242 Br
9.962 -0.004 4.323 Br
8.331 -2.948 1.708 Br

=====

Record 18
AgRh2Se | Alexandria via LeMat-Bulk | GGA-PBE | relaxed; density = 9.821 g/cm3; uncorrected formation energy = 146 meV per atom; raw total energy = -5.113 eV/atom; DOS at the Fermi energy = 3.54 states/eV/f.u.
1.0
5.137 -1.489 0.000
5.137 1.489 0.000
-1.767 0.000 4.340
Ag Rh Se
1 2 1
Cartesian
0.000 0.000 0.000 Ag
4.513 0.000 2.270 Rh
7.442 0.000 1.344 Rh
1.179 0.000 2.982 Se

=====

Record 19
CrRhW2 | Alexandria via LeMat-Bulk | GGA-PBE | relaxed; energy of formation = 144 meV per atom; density = 14.793 g/cm3; raw total energy = -10.576 eV/atom; DOS at the Fermi energy = 4.36 states/eV/f.u.; relative energy among the computed polymorphs = 20 kJ/mol of formula units
1.0
2.778 -3.870 0.000
2.778 3.870 0.000
0.000 0.000 2.728
Cr Rh W
1 1 2
Cartesian
0.000 0.000 0.000 Cr
2.778 0.000 0.000 Rh
1.389 1.935 1.364 W
1.389 -1.935 1.364 W

=====

Record 20
BeCdRh3 | Alexandria via LeMat-Bulk | GGA-PBE | relaxed; energy of formation = 53 meV per atom; density = 9.678 g/cm3; raw total energy = -5.286 eV/atom; DOS at the Fermi energy = 3.62 states/eV/f.u.; relative energy among the computed polymorphs = 0 kJ/mol of formula units
1.0
4.195 0.000 0.000
0.000 4.195 0.000
0.000 0.000 4.195
Be Cd Rh
1 1 3
Cartesian
0.000 0.000 0.000 Be
2.097 2.097 2.097 Cd
0.000 0.000 2.097 Rh
0.000 2.097 0.000 Rh
2.097 0.000 0.000 Rh